No. 1
Entry from Alexandria: Co3Cl4 after structural relaxation (PBE).

## Properties
- Space group: I4/mmm, No. 139
- Electronic total energy: -28.945 eV/cell

Cell lengths 13.3738, 13.3738, 13.3738 Å; angles 166.27, 166.27, 19.47 degrees
Each line ends with the local moment (μB).
Positions (direct):
Cl1 0.4441 0.4441 0.0000  -0.18
Cl2 0.5559 0.5559 0.0000  -0.18
Cl3 0.8169 0.8169 0.0000  0.12
Cl4 0.1831 0.1831 0.0000  0.12
Co1 0.0000 0.0000 0.0000  -2.43
Co2 0.7305 0.7305 0.0000  1.91
Co3 0.2695 0.2695 0.0000  1.91

***

No. 2
Entry from Alexandria: CoCl7 after structural relaxation (PBE).

## Properties
- Space group: Fm-3m, No. 225
- Electronic total energy: -13.623 eV/cell

Cell lengths 6.1517, 6.1517, 6.1517 Å; angles 60.00, 60.00, 60.00 degrees
Each line ends with the local moment (μB).
Positions (direct):
Co1 0.0000 0.0000 0.0000  2.47
Cl1 0.5000 0.0000 0.0000  0.35
Cl2 0.5000 0.0000 0.5000  0.35
Cl3 0.5000 0.5000 0.0000  0.35
Cl4 0.5000 0.5000 0.5000  -0.14
Cl5 0.0000 0.5000 0.5000  0.35
Cl6 0.0000 0.5000 0.0000  0.35
Cl7 0.0000 0.0000 0.5000  0.35

***

No. 3
Entry from Alexandria: Co3Cl after structural relaxation (PBE).

## Properties
- Space group: Cmcm, No. 63
- Offset from the most stable computed form: 65 meV/atom

Cell lengths 6.1895, 6.1895, 2.9415 Å; angles 90.00, 90.00, 95.18 degrees
Each line ends with the local moment (μB).
Positions (direct):
Co1 0.6632 0.8714 0.2500  1.86
Co2 0.8998 0.1002 0.7500  1.75
Co3 0.1002 0.8998 0.2500  1.75
Co4 0.1286 0.3368 0.2500  1.86
Co5 0.3368 0.1286 0.7500  1.86
Co6 0.8714 0.6632 0.7500  1.86
Cl1 0.6578 0.3422 0.7500  0.09
Cl2 0.3422 0.6578 0.2500  0.09

***

no.,N(E_F) (states/eV per atom)
1,1.09
2,1.33
3,1.27